[1]
The following is a DFT calculation (PBE) of a relaxed Mg2Au2O5 crystal.

Output
Its space-group type is No. 123. The calculation puts the total energy at -41.48 eV/f.u.

Structure (extended XYZ):
```
9
Lattice="3.6541 0.0000 0.0000 0.0000 3.6541 0.0000 0.0000 0.0000 7.9725" Properties=species:S:1:pos:R:3 pbc="T T T"
Mg 0.0000 0.0000 1.9627
Mg 0.0000 0.0000 6.0098
Au 1.8270 1.8270 0.0000
Au 1.8270 1.8270 3.9862
O 0.0000 0.0000 0.0000
O 0.0000 1.8270 2.7212
O 0.0000 1.8270 5.2513
O 1.8270 0.0000 2.7212
O 1.8270 0.0000 5.2513
```

***

[2]
The following is a DFT calculation (PBE) of a relaxed MgAu2S4O16 crystal.

Output
Its space-group type is No. 43. The calculation puts the total energy at -130.41 eV/f.u.

Structure (extended XYZ):
```
46
Lattice="0.0000 8.1440 5.1300 7.2215 0.0000 5.1300 7.2215 8.1440 0.0000" Properties=species:S:1:pos:R:3 pbc="T T T"
Mg 0.0000 0.0000 0.0000
Mg 3.6107 4.0720 2.5650
Au 9.4806 6.0830 3.1032
Au 5.8698 6.1330 5.6682
Au 8.5731 10.1550 5.6682
Au 4.9624 10.2050 3.1032
S 6.4058 6.0547 2.6624
S 11.6479 10.1267 5.2274
S 8.0372 10.2333 2.6624
S 8.8586 6.2203 6.1581
S 2.7951 6.1613 5.2274
S 5.5844 10.0677 6.1581
S 9.1952 10.2923 8.7231
S 12.4693 14.1397 8.7231
O 7.6567 5.2076 2.8609
O 6.4870 6.9263 1.5139
O 7.9560 9.3617 1.5139
O 12.7269 9.1708 5.1977
O 5.3268 5.0988 2.6327
O 10.0033 5.3622 6.3903
O 4.3452 2.8543 4.0790
O 9.0363 6.9830 4.8368
O 1.8947 3.0452 2.6327
O 7.6747 5.2468 5.9238
O 6.2784 6.9890 3.8626
O 10.3970 9.2796 5.4259
O 8.1645 9.2990 3.8626
O 6.7863 11.0804 2.8609
O 11.7753 11.0610 6.4276
O 2.8762 5.2897 4.0790
O 8.5686 7.2410 7.1229
O 12.6471 13.3770 7.4018
O 5.4066 9.3050 4.8368
O 4.0460 7.0084 5.4259
O 10.3790 9.3188 8.4888
O 9.8892 13.3710 6.4276
O 9.0174 11.0551 7.4018
O 6.7683 11.0412 5.9238
O 1.7161 7.1172 5.1977
O 5.8744 9.0470 7.1229
O 13.6140 14.9978 8.9553
O 8.0504 9.4342 8.9553
O 12.1793 13.1190 9.6879
O 11.2855 15.1132 8.4888
O 9.4851 11.3130 9.6879
O 4.4397 10.9258 6.3903
```

***

[3]
The following is a DFT calculation (PBE) of a relaxed MgScAuO3 crystal.

Output
Its space-group type is No. 63. The calculation puts the total energy at -33.98 eV/f.u.

Structure (extended XYZ):
```
12
Lattice="1.5226 -7.2438 0.0000 1.5226 7.2438 0.0000 0.0000 0.0000 8.1004" Properties=species:S:1:pos:R:3 pbc="T T T"
Mg 1.5226 4.9740 6.0753
Mg 1.5226 -4.9740 2.0251
Sc 1.5226 0.0000 0.0000
Sc 1.5226 0.0000 4.0502
Au 1.5226 5.5917 2.0251
Au 1.5226 -5.5917 6.0753
O 1.5226 2.9902 6.0753
O 1.5226 1.7424 0.7625
O 1.5226 1.7424 3.2878
O 1.5226 -1.7424 4.8127
O 1.5226 -1.7424 7.3380
O 1.5226 -2.9902 2.0251
```

***

[4]
The following is a DFT calculation (PBE) of a relaxed TbMgAuO3 crystal.

Output
Its space-group type is No. 63. The calculation puts the total energy at -35.72 eV/f.u.

Structure (extended XYZ):
```
12
Lattice="1.5898 -7.3836 0.0000 1.5898 7.3836 0.0000 0.0000 0.0000 6.6301" Properties=species:S:1:pos:R:3 pbc="T T T"
Tb 0.0000 0.0000 0.0000
Tb 0.0000 0.0000 3.3150
Mg 1.5898 2.4033 4.9726
Mg 1.5898 -2.4033 1.6575
Au 1.5898 2.6008 1.6575
Au 1.5898 -2.6008 4.9726
O 1.5898 5.1529 0.2923
O 1.5898 5.1529 3.0228
O 1.5898 0.1989 4.9726
O 1.5898 -0.1989 1.6575
O 1.5898 -5.1529 3.6073
O 1.5898 -5.1529 6.3378
```

***

[5]
The following is a DFT calculation (PBE) of a relaxed TmMgAuO3 crystal.

Output
Its space-group type is No. 63. The calculation puts the total energy at -36.03 eV/f.u.

Structure (extended XYZ):
```
12
Lattice="1.5599 -7.5402 0.0000 1.5599 7.5402 0.0000 0.0000 0.0000 6.5198" Properties=species:S:1:pos:R:3 pbc="T T T"
Tm 0.0000 0.0000 0.0000
Tm 0.0000 0.0000 3.2599
Mg 1.5599 2.4144 4.8898
Mg 1.5599 -2.4144 1.6299
Au 1.5599 2.7064 1.6299
Au 1.5599 -2.7064 4.8898
O 1.5599 5.3570 0.2690
O 1.5599 5.3570 2.9909
O 1.5599 0.1381 4.8898
O 1.5599 -0.1381 1.6299
O 1.5599 -5.3570 3.5289
O 1.5599 -5.3570 6.2508
```

***

[6]
The following is a DFT calculation (PBE) of a relaxed YMgAuO3 crystal.

Output
Its space-group type is No. 63. The calculation puts the total energy at -35.87 eV/f.u.

Structure (extended XYZ):
```
12
Lattice="1.8261 -5.7505 0.0000 1.8261 5.7505 0.0000 0.0000 0.0000 8.2306" Properties=species:S:1:pos:R:3 pbc="T T T"
Y 0.0000 0.0000 0.0000
Y 0.0000 0.0000 4.1153
Mg 1.8261 2.1041 6.1729
Mg 1.8261 -2.1041 2.0576
Au 1.8261 1.5965 2.0576
Au 1.8261 -1.5965 6.1729
O 1.8261 4.6836 2.0576
O 1.8261 3.7133 4.9023
O 1.8261 3.7133 7.4436
O 1.8261 -3.7133 0.7870
O 1.8261 -3.7133 3.3283
O 1.8261 -4.6836 6.1729
```

***

[7]
The following is a DFT calculation (PBE) of a relaxed MgOs2Au crystal.

Output
Its space-group type is No. 216. The calculation puts the total energy at -25.64 eV/f.u.

Structure (extended XYZ):
```
4
Lattice="0.0000 3.1452 3.1452 3.1452 0.0000 3.1452 3.1452 3.1452 0.0000" Properties=species:S:1:pos:R:3 pbc="T T T"
Mg 0.0000 0.0000 0.0000
Os 3.1452 3.1452 3.1452
Os 4.7178 4.7178 4.7178
Au 1.5726 1.5726 1.5726
```

***

[8]
The following is a DFT calculation (PBE) of a relaxed MgTcOsAu crystal.

Output
Its space-group type is No. 216. The calculation puts the total energy at -25.34 eV/f.u.

Structure (extended XYZ):
```
4
Lattice="0.0000 3.1475 3.1475 3.1475 0.0000 3.1475 3.1475 3.1475 0.0000" Properties=species:S:1:pos:R:3 pbc="T T T"
Mg 0.0000 0.0000 0.0000
Tc 1.5738 1.5738 1.5738
Os 3.1475 3.1475 3.1475
Au 4.7213 4.7213 4.7213
```